Crystalline In2SiF8 at its relaxed geometry. Source: Alexandria, functional GGA-PBE.

a b c (Å): 10.9383 4.8915 6.3759
angles (deg): 90.00 93.70 90.00
Space group C2/m (No. 12)
Asymmetric unit:
1 In 0.1222 0.0000 0.4790 [4 per cell]
2 Si 0.0000 0.0000 0.0000 [2 per cell]
3 F 0.0699 0.2397 0.1616 [8 per cell]
4 F 0.1269 0.0000 0.8472 [4 per cell]
5 F 0.1905 0.5000 0.5346 [4 per cell]

Properties
Calculated total energy ... -4.936 eV/atom
Crystal system ... monoclinic
E_form (uncorrected) ... -2.584 eV/atom